An optimized crystal structure of Hg3H5Pt2. Source: Alexandria via LeMat-Bulk, functional GGA-PBE.

Unit cell a=6.3430 b=12.5489 c=6.7136 alpha=90.00 beta=90.00 gamma=90.00
Last column: nearest neighbours and their distance in Å.
Space group Ibam (No. 72)
Unique sites:
Hg 0.0000 0.0000 0.2500 [4 per cell]  4 H 2.84-3.17, 4 Pt 2.92
Hg 0.1108 0.4032 0.0000 [8 per cell]  2 H 2.19
H 0.0000 0.2264 0.2500 [8 per cell]  2 Pt 1.74
H 0.0000 0.5000 0.2500 [4 per cell]  4 Hg 2.19
H 0.2251 0.2929 0.5000 [8 per cell]  2 Pt 1.73-1.94
Pt 0.0035 0.1905 0.0000 [8 per cell]  4 H 1.73-1.94

Density (g cm⁻³): 12.39
Total DFT energy (no corrections) (eV per cell): -113.4


An optimized crystal structure of Nd4In3. Source: Alexandria via LeMat-Bulk, functional GGA-PBE.

Unit cell a=14.6931 b=14.6931 c=6.7615 alpha=90.00 beta=90.00 gamma=120.00
Last column: nearest neighbours and their distance in Å.
Space group R-3 (No. 148, hexagonal axes)
Unique sites:
Nd 0.0000 0.0000 0.0000 [3 per cell]  8 Nd 3.38-3.60, 6 In 3.65
Nd 0.0000 0.0000 0.5000 [3 per cell]  6 In 3.31, 2 Nd 3.38
Nd 0.0544 0.2525 0.1824 [18 per cell]  7 In 3.29-3.51, 2 Nd 3.59-3.60
In 0.0504 0.2266 0.6981 [18 per cell]  9 Nd 3.29-3.65

Density (g cm⁻³): 7.26
Energy of formation (eV per atom): -0.402
E above lowest polymorph (meV per atom): 0.0


An optimized crystal structure of Pr7Cd2Ag2. Source: Alexandria via LeMat-Bulk, functional GGA-PBE.

Unit cell a=8.0232 b=11.4037 c=7.9512 alpha=90.00 beta=90.00 gamma=90.00
Last column: nearest neighbours and their distance in Å.
Space group Cmmm (No. 65)
Unique sites:
Pr 0.0000 0.0000 0.0000 [2 per cell]  2 Ag 3.28
Pr 0.0000 0.5000 0.2587 [4 per cell]  2 Ag 3.18, 2 Cd 3.26, 4 Pr 3.49
Pr 0.2500 0.2500 0.2809 [8 per cell]  2 Ag 3.03
Cd 0.1717 0.0000 0.5000 [4 per cell]  1 Cd 2.76
Ag 0.0000 0.2875 0.0000 [4 per cell]  7 Pr 3.03-3.28

Density (g cm⁻³): 6.51
Energy of formation (eV per atom): 0.031


An optimized crystal structure of CeMg2Cd. Source: Alexandria via LeMat-Bulk, functional GGA-PBE.

Unit cell a=5.1941 b=5.1941 c=7.3255 alpha=90.00 beta=90.00 gamma=90.00
Last column: nearest neighbours and their distance in Å.
Space group I-4m2 (No. 119)
Unique sites:
Ce 0.0000 0.0000 0.0000 [2 per cell]  4 Cd 3.18, 4 Mg 3.18
Mg 0.0000 0.0000 0.5000 [2 per cell]  4 Cd 3.18, 4 Mg 3.18
Mg 0.0000 0.5000 0.7500 [2 per cell]  4 Ce 3.18, 4 Mg 3.18
Cd 0.0000 0.5000 0.2500 [2 per cell]  4 Ce 3.18, 4 Mg 3.18

Density (g cm⁻³): 5.06
Energy of formation (eV per atom): -0.128
E above lowest polymorph (meV per atom): 0.0


An optimized crystal structure of Bi2AsS. Source: Alexandria via LeMat-Bulk, functional GGA-PBE.

Unit cell a=7.1426 b=4.0127 c=15.8070 alpha=90.00 beta=90.00 gamma=90.00
Last column: nearest neighbours and their distance in Å.
Space group Pnma (No. 62)
Unique sites:
Bi 0.1179 0.2500 0.2360 [4 per cell]  4 S 2.88-2.91, 2 As 2.95-3.19
Bi 0.2246 0.7500 0.9911 [4 per cell]  3 As 2.80-3.11
As 0.1184 0.7500 0.5925 [4 per cell]  4 Bi 2.80-3.11
S 0.1468 0.2500 0.8162 [4 per cell]  4 Bi 2.88-2.91

Density (g cm⁻³): 7.70
Formation energy from raw total energies (eV per formula unit): -0.2
E above lowest polymorph (meV per atom): 18.1


An optimized crystal structure of GaReCl2. Source: Alexandria via LeMat-Bulk, functional GGA-PBE.

Unit cell a=8.3882 b=8.3882 c=5.1062 alpha=90.00 beta=90.00 gamma=90.00
Last column: nearest neighbours and their distance in Å.
Space group I-42d (No. 122)
Unique sites:
Ga 0.0000 0.0000 0.0000 [4 per cell]  2 Re 2.55
Re 0.0000 0.0000 0.5000 [4 per cell]  4 Cl 2.39, 2 Ga 2.55
Cl 0.1135 0.2500 0.6250 [8 per cell]  2 Re 2.39

Density (g cm⁻³): 6.04
Formation energy from raw total energies (eV per formula unit): 0.9
E above lowest polymorph (meV per atom): 0.0


An optimized crystal structure of KAu2Se2. Source: Alexandria via LeMat-Bulk, functional GGA-PBE.

Unit cell a=10.3785 b=10.3092 c=6.3184 alpha=90.00 beta=117.81 gamma=90.00
Last column: nearest neighbours and their distance in Å.
Space group C2/c (No. 15)
Unique sites:
K 0.0000 0.2035 0.2500 [4 per cell]  2 Se 3.33, 4 Au 3.44-3.64
Au 0.0000 0.5000 0.0000 [4 per cell]  2 Se 2.45
Au 0.2500 0.2500 0.0000 [4 per cell]  2 Se 2.45
Se 0.2361 0.0333 0.8305 [8 per cell]  2 Au 2.45

Density (g cm⁻³): 6.56
Formation energy from raw total energies (eV per formula unit): -2.0
E above lowest polymorph (meV per atom): 0.0


An optimized crystal structure of TbSc3Sb. Source: Alexandria via LeMat-Bulk, functional GGA-PBE.

Unit cell a=9.9924 b=3.8338 c=13.5841 alpha=90.00 beta=90.00 gamma=90.00
Last column: nearest neighbours and their distance in Å.
Space group Pnma (No. 62)
Unique sites:
Tb 0.1590 0.2500 0.0244 [4 per cell]  2 Sb 3.25, 6 Sc 3.48-3.49
Sc 0.0856 0.2500 0.4209 [4 per cell]  3 Sb 2.96-2.97, 3 Sc 3.17-3.18
Sc 0.1138 0.7500 0.2353 [4 per cell]  2 Sb 2.91-2.98, 4 Sc 3.18-3.20
Sc 0.1343 0.7500 0.8109 [4 per cell]  2 Sb 3.05, 5 Sc 3.17-3.33
Sb 0.1276 0.2500 0.6364 [4 per cell]  7 Sc 2.91-3.05, 2 Tb 3.25

Density (g cm⁻³): 5.30
Formation energy from raw total energies (eV per formula unit): -2.0


An optimized crystal structure of K3Ho3TaS8. Source: Alexandria via LeMat-Bulk, functional GGA-PBE.

Unit cell a=7.8095 b=7.8095 c=22.5841 alpha=90.00 beta=90.00 gamma=120.00
Last column: nearest neighbours and their distance in Å.
Space group R-3m (No. 166, hexagonal axes)
Unique sites:
K 0.0000 0.5000 0.0000 [9 per cell]  6 S 3.18-3.19
Ho 0.0000 0.5000 0.5000 [9 per cell]  6 S 2.72-2.74
Ta 0.0000 0.0000 0.5000 [3 per cell]  6 S 2.54
S 0.0000 0.0000 0.2341 [6 per cell]  3 Ho 2.72
S 0.0237 0.5118 0.2301 [18 per cell]  1 Ta 2.54, 2 Ho 2.74

Density (g cm⁻³): 4.38
Formation energy from raw total energies (eV per formula unit): -25.0


An optimized crystal structure of AcNd2Si6. Source: Alexandria via LeMat-Bulk, functional GGA-PBE.

Unit cell a=7.2490 b=7.2490 c=4.2842 alpha=90.00 beta=90.00 gamma=120.00
Last column: nearest neighbours and their distance in Å.
Space group P6/mmm (No. 191)
Unique sites:
Ac 0.0000 0.0000 0.0000 [1 per cell]  12 Si 3.25
Nd 0.3333 0.6667 0.0000 [2 per cell]  12 Si 3.22
Si 0.0000 0.3380 0.5000 [6 per cell]  3 Si 2.35-2.45

Density (g cm⁻³): 5.83
Formation energy from raw total energies (eV per formula unit): -4.9


An optimized crystal structure of LiSnSbTe2. Source: Alexandria via LeMat-Bulk, functional GGA-PBE.

Unit cell a=5.8380 b=5.8380 c=5.6566 alpha=90.00 beta=90.00 gamma=90.00
Last column: nearest neighbours and their distance in Å.
Space group P4/mmm (No. 123)
Unique sites:
Li 0.0000 0.0000 0.0000 [1 per cell]  8 Te 4.06, 4 Sb 4.13
Sn 0.5000 0.5000 0.5000 [1 per cell]  2 Sb 2.83, 4 Te 2.92
Sb 0.5000 0.5000 0.0000 [1 per cell]  2 Sn 2.83
Te 0.0000 0.5000 0.5000 [2 per cell]  2 Sn 2.92

Density (g cm⁻³): 4.33
Formation energy from raw total energies (eV per formula unit): 1.5
E above lowest polymorph (meV per atom): 149.9


An optimized crystal structure of Pm2ZrTl3S6. Source: Alexandria via LeMat-Bulk, functional GGA-PBE.

Unit cell a=6.9178 b=11.9767 c=7.9312 alpha=90.00 beta=106.98 gamma=90.00
Last column: nearest neighbours and their distance in Å.
Space group C2/m (No. 12)
Unique sites:
Pm 0.0000 0.1660 0.0000 [4 per cell]  6 S 2.83-2.85
Zr 0.0000 0.5000 0.0000 [2 per cell]  6 S 2.63-2.66
Tl 0.0000 0.0000 0.5000 [2 per cell]  6 S 3.19-3.32
Tl 0.0000 0.3285 0.5000 [4 per cell]  6 S 3.19-3.31
S 0.2223 0.3444 0.2001 [8 per cell]  1 Zr 2.63, 2 Pm 2.83
S 0.2420 0.5000 0.7937 [4 per cell]  1 Zr 2.66, 2 Pm 2.85

Density (g cm⁻³): 6.27
Formation energy from raw total energies (eV per formula unit): -15.7


Please write out number 9 again, unchanged.
An optimized crystal structure of K3Ho3TaS8. Source: Alexandria via LeMat-Bulk, functional GGA-PBE.

Unit cell a=7.8095 b=7.8095 c=22.5841 alpha=90.00 beta=90.00 gamma=120.00
Last column: nearest neighbours and their distance in Å.
Space group R-3m (No. 166, hexagonal axes)
Unique sites:
K 0.0000 0.5000 0.0000 [9 per cell]  6 S 3.18-3.19
Ho 0.0000 0.5000 0.5000 [9 per cell]  6 S 2.72-2.74
Ta 0.0000 0.0000 0.5000 [3 per cell]  6 S 2.54
S 0.0000 0.0000 0.2341 [6 per cell]  3 Ho 2.72
S 0.0237 0.5118 0.2301 [18 per cell]  1 Ta 2.54, 2 Ho 2.74

Density (g cm⁻³): 4.38
Formation energy from raw total energies (eV per formula unit): -25.0